PBE with a Hubbard U Li3Mn4O8, optimized geometry; space group = P-1, No. 2; magnetization = 1.000 μB per atom; final energy = -6.71 eV/atom
1.0
8.4304 -0.0005 0.0062
0.0330 8.7523 0.0335
4.1616 4.3894 8.1267
Li Mn O
12 16 32
Direct
0.3752 0.1265 0.7501 Li
0.1228 0.3745 0.2527 Li
0.6248 0.8750 0.2498 Li
0.3770 0.6260 0.7504 Li
0.8785 0.1287 0.7476 Li
0.6231 0.3757 0.2495 Li
0.1216 0.8729 0.2524 Li
0.2472 0.7484 0.0048 Li
0.0001 0.0010 0.5001 Li
0.5000 0.5008 0.4998 Li
0.7528 0.2530 0.9952 Li
0.8772 0.6270 0.7473 Li
0.5000 0.0009 0.0000 Mn
0.5001 0.0009 0.4999 Mn
0.2491 0.2492 0.0029 Mn
0.5000 0.5009 0.0000 Mn
0.1314 0.3774 0.7493 Mn
0.7510 0.7525 0.9970 Mn
0.7485 0.2546 0.4997 Mn
0.0000 0.5008 0.5000 Mn
0.7501 0.7478 0.4998 Mn
0.2515 0.7470 0.5003 Mn
0.8686 0.6242 0.2507 Mn
0.0000 0.5008 0.0000 Mn
0.0001 0.0008 0.0000 Mn
0.6265 0.8786 0.7476 Mn
0.2500 0.2539 0.5001 Mn
0.3736 0.1231 0.2523 Mn
0.9079 0.3804 0.7423 O
0.0206 0.2507 0.9910 O
0.3699 0.3413 0.2575 O
0.8494 0.8742 0.7572 O
0.7581 0.5268 0.9973 O
0.5981 0.1208 0.2598 O
0.4871 0.2244 0.5001 O
0.4021 0.8809 0.7400 O
0.1507 0.1275 0.2428 O
0.6232 0.0987 0.7510 O
0.8727 0.4035 0.2482 O
0.5201 0.7534 0.9865 O
0.3510 0.3688 0.7667 O
0.2420 0.4750 0.0026 O
0.2696 0.9929 0.4910 O
0.2571 0.0241 0.0018 O
0.0120 0.2708 0.5001 O
0.7435 0.4975 0.4858 O
0.3769 0.9030 0.2489 O
0.0922 0.6212 0.2578 O
0.7430 0.9777 0.9982 O
0.9795 0.7509 0.0090 O
0.7305 0.0088 0.5089 O
0.1326 0.1593 0.7439 O
0.5130 0.7773 0.4998 O
0.6301 0.6604 0.7424 O
0.2565 0.5041 0.5142 O
0.8675 0.8423 0.2561 O
0.1273 0.5981 0.7518 O
0.6490 0.6329 0.2332 O
0.4800 0.2484 0.0135 O
0.9880 0.7307 0.4999 O